1.
Pm3Pr2Te8: relaxed, PBE-GGA.

The value obtained for the total DFT energy (no corrections) is -131.43 eV for the cell shown. The value obtained for the density of states at the Fermi level is 0.533 states/eV per atom. The crystal system is monoclinic.

The space group is C2/m (No. 12) and the conventional cell measures 15.7435, 8.9711 and 7.7125 Å, with angles of 90.00, 108.82 and 90.00 degrees. Symmetry generates all atoms from Pm at (0.0000, 0.0000, 0.0000), Pm at (0.0000, 0.2587, 0.5000), Pr at (0.2478, 0.5000, 0.1665), Te at (0.1199, 0.0000, 0.4169), Te at (0.1207, 0.2463, 0.9130) and Te at (0.1207, 0.5000, 0.4104).

---

2.
Pm5Pr3Te8: relaxed, PBE-GGA.

The value obtained for the total DFT energy (no corrections) is -257.60 eV for the cell shown. The value obtained for the density of states at the Fermi level is 0.785 states/eV per atom. The crystal system is trigonal.

The space group is R-3m (No. 166, hexagonal axes) and the conventional cell measures 8.9850, 8.9850 and 21.9966 Å, with angles of 90.00, 90.00 and 120.00 degrees. Symmetry generates all atoms from Pm at (0.0000, 0.0000, 0.0000), Pm at (0.0000, 0.0000, 0.5000), Pm at (0.0000, 0.5000, 0.0000), Pr at (0.0000, 0.5000, 0.5000), Te at (0.0000, 0.0000, 0.2518) and Te at (0.0023, 0.5012, 0.2512).

---

3.
PmPr2Te: relaxed, PBE-GGA.

The value obtained for the total DFT energy (no corrections) is -19.51 eV for the cell shown. The value obtained for the density of states at the Fermi level is 0.868 states/eV per atom. The crystal system is tetragonal.

The space group is P4/mmm (No. 123) and the conventional cell measures 5.6763, 5.6763 and 3.9029 Å, with angles of 90.00, 90.00 and 90.00 degrees. Symmetry generates all atoms from Pm at (0.0000, 0.0000, 0.0000), Pr at (0.0000, 0.5000, 0.5000) and Te at (0.5000, 0.5000, 0.0000).

---

4.
Pm2PrTe4: relaxed, PBE-GGA.

The value obtained for the total DFT energy (no corrections) is -147.16 eV for the cell shown. The value obtained for the density of states at the Fermi level is 0.388 states/eV per atom. The crystal system is orthorhombic.

The space group is Cmcm (No. 63) and the conventional cell measures 4.3702, 14.7023 and 15.2832 Å, with angles of 90.00, 90.00 and 90.00 degrees. Symmetry generates all atoms from Pm at (0.0000, 0.1316, 0.0683), Pr at (0.0000, 0.3748, 0.2500), Te at (0.0000, 0.0349, 0.2500), Te at (0.0000, 0.2225, 0.6228) and Te at (0.0000, 0.5000, 0.0000).

---

5.
PmPr5Te4: relaxed, PBE-GGA.

The value obtained for the total DFT energy (no corrections) is -102.91 eV for the cell shown. The value obtained for the density of states at the Fermi level is 0.902 states/eV per atom. The crystal system is monoclinic.

The space group is C2/m (No. 12) and the conventional cell measures 18.9840, 4.3791 and 8.7674 Å, with angles of 90.00, 102.33 and 90.00 degrees. Symmetry generates all atoms from Pm at (0.0000, 0.0000, 0.0000), Pr at (0.0000, 0.0000, 0.5000), Pr at (0.1647, 0.5000, 0.8113), Pr at (0.1830, 0.5000, 0.3542), Te at (0.0090, 0.5000, 0.2521) and Te at (0.1668, 0.0000, 0.0775).

---

6.
Pm2PrTe: relaxed, PBE-GGA.

The value obtained for the total DFT energy (no corrections) is -80.82 eV for the cell shown. The value obtained for the density of states at the Fermi level is 1.182 states/eV per atom. The crystal system is orthorhombic.

The space group is Pnma (No. 62) and the conventional cell measures 7.8743, 10.0659 and 6.4917 Å, with angles of 90.00, 90.00 and 90.00 degrees. Symmetry generates all atoms from Pm at (0.1958, 0.0372, 0.1236), Pr at (0.0179, 0.2500, 0.6266) and Te at (0.1071, 0.7500, 0.8992).

---

7.
Pm2PrTe4: relaxed, PBE-GGA.

The value obtained for the total DFT energy (no corrections) is -73.56 eV for the cell shown. The value obtained for the density of states at the Fermi level is 0.455 states/eV per atom. The crystal system is monoclinic.

The space group is C2/m (No. 12) and the conventional cell measures 16.9063, 4.4785 and 7.7829 Å, with angles of 90.00, 116.74 and 90.00 degrees. Symmetry generates all atoms from Pm at (0.2421, 0.0000, 0.2311), Pr at (0.0000, 0.5000, 0.5000), Te at (0.1242, 0.5000, 0.9530) and Te at (0.1322, 0.0000, 0.4754).

---

8.
Pm5PrTe4: relaxed, PBE-GGA.

The value obtained for the total DFT energy (no corrections) is -99.37 eV for the cell shown. The value obtained for the density of states at the Fermi level is 0.992 states/eV per atom. The crystal system is orthorhombic.

The space group is Pmmn (No. 59, origin choice 2) and the conventional cell measures 9.3452, 10.0570 and 7.7375 Å, with angles of 90.00, 90.00 and 90.00 degrees. Symmetry generates all atoms from Pm at (0.0484, 0.0558, 0.2425), Pm at (0.2500, 0.7500, 0.2244), Pr at (0.2500, 0.2500, 0.8567), Te at (0.0209, 0.2500, 0.5578) and Te at (0.2500, 0.5475, 0.9343).

---

9.
Pm4PrTe7: relaxed, PBE-GGA.

The value obtained for the total DFT energy (no corrections) is -125.81 eV for the cell shown. The value obtained for the density of states at the Fermi level is 0.213 states/eV per atom. The crystal system is monoclinic.

The space group is Cm (No. 8) and the conventional cell measures 14.7014, 4.3473 and 13.4887 Å, with angles of 90.00, 104.30 and 90.00 degrees. Symmetry generates all atoms from Pm at (0.0000, 0.0000, 0.0000), Pm at (0.0854, 0.5000, 0.3912), Pm at (0.1838, 0.0000, 0.7651), Pm at (0.3848, 0.5000, 0.5788), Pr at (0.2690, 0.5000, 0.1547), Te at (0.0457, 0.5000, 0.6261), Te at (0.1256, 0.5000, 0.9247), Te at (0.1393, 0.0000, 0.2294), Te at (0.2239, 0.0000, 0.5301), Te at (0.3457, 0.5000, 0.7943), Te at (0.3855, 0.0000, 0.0758) and Te at (0.4238, 0.5000, 0.3634).

---

10.
Pm3Pr4Te8: relaxed, PBE-GGA.

The value obtained for the total DFT energy (no corrections) is -160.85 eV for the cell shown. The value obtained for the density of states at the Fermi level is 0.483 states/eV per atom. The crystal system is monoclinic.

The space group is C2/m (No. 12) and the conventional cell measures 12.6804, 12.6820 and 8.9630 Å, with angles of 90.00, 134.97 and 90.00 degrees. Symmetry generates all atoms from Pm at (0.0000, 0.0000, 0.0000), Pm at (0.2500, 0.2500, 0.5000), Pr at (0.0000, 0.0000, 0.5000), Pr at (0.0000, 0.5000, 0.0000), Pr at (0.2500, 0.2500, 0.0000), Te at (0.0000, 0.2484, 0.0000), Te at (0.0000, 0.2569, 0.5000), Te at (0.2446, 0.5000, 0.5032) and Te at (0.2447, 0.5000, 0.9861).

---

11.
PmPr5Te8: relaxed, PBE-GGA.

The value obtained for the total DFT energy (no corrections) is -147.89 eV for the cell shown. The value obtained for the density of states at the Fermi level is 0.723 states/eV per atom. The crystal system is tetragonal.

The space group is I-4 (No. 82) and the conventional cell measures 9.5719, 9.5719 and 9.6064 Å, with angles of 90.00, 90.00 and 90.00 degrees. Symmetry generates all atoms from Pm at (0.0000, 0.0000, 0.0000), Pr at (0.0000, 0.5000, 0.2500), Pr at (0.1226, 0.2498, 0.6251), Te at (0.0746, 0.3229, 0.9511) and Te at (0.0758, 0.1744, 0.2987).

---

12.
PmPrTe: relaxed, PBE-GGA.

The value obtained for the total DFT energy (no corrections) is -57.30 eV for the cell shown. The value obtained for the density of states at the Fermi level is 0.994 states/eV per atom. The crystal system is orthorhombic.

The space group is Immm (No. 71) and the conventional cell measures 3.7285, 5.8086 and 17.6989 Å, with angles of 90.00, 90.00 and 90.00 degrees. Symmetry generates all atoms from Pm at (0.0000, 0.2439, 0.0000), Pr at (0.0000, 0.5000, 0.1816) and Te at (0.0000, 0.5000, 0.3624).